Entry 1:
The following is a DFT calculation (PBE) of an optimized crystal structure of UNiIrRh.

The structure in POSCAR format:
```
UNiIrRh
1.0
3.888 0.000 0.000
0.000 4.029 0.000
0.000 0.000 4.006
U Ni Ir Rh
1 1 1 1
direct
0.500 0.500 0.000
0.500 0.000 0.500
0.000 0.000 0.000
0.000 0.500 0.500
```

Total magnetic moment, μB/f.u.: 0.000
Raw total energy, eV per atom: -8.8868
Formation energy, eV/atom: -0.57
DOS(E_F), states/eV/f.u.: 2.28

Entry 2:
The following is a DFT calculation (PBE) of an optimized crystal structure of LaMgV3.

The structure in POSCAR format:
```
LaMgV3
1.0
-3.123 -0.040 3.396
2.962 -2.289 2.698
1.662 4.006 1.575
Mg La V
1 1 3
direct
0.500 0.500 0.500
0.000 0.000 0.000
0.000 0.500 0.000
0.000 0.000 0.500
0.500 0.000 0.000
```

Total magnetic moment, μB/f.u.: 0.000
E above lowest polymorph, meV per atom: 170
Raw total energy, eV per atom: -5.2876
Formation energy, eV/atom: 1.49
DOS(E_F), states/eV/f.u.: 5.34

Entry 3:
The following is a DFT calculation (PBE) of an optimized crystal structure of MgAsOs2.

The structure in POSCAR format:
```
MgAsOs2
1.0
-3.898 -2.094 -7.289
-5.017 -4.144 -5.511
-6.236 -1.477 -5.625
As Mg Os
1 1 2
direct
0.250 0.250 0.250
0.750 0.750 0.750
0.991 0.991 0.991
0.509 0.509 0.509
```

Total magnetic moment, μB/f.u.: 0.000
E above lowest polymorph, meV per atom: 245
Raw total energy, eV per atom: -6.7961
Formation energy, eV/atom: 0.38
DOS(E_F), states/eV/f.u.: 3.60

Entry 4:
The following is a DFT calculation (PBE) of an optimized crystal structure of Li2InPbF8.

The structure in POSCAR format:
```
Li2InPbF8
1.0
4.807 -0.006 -0.003
0.039 4.814 -0.005
0.005 0.008 7.057
Li In Pb F
2 1 1 8
direct
0.500 0.500 0.776
0.500 0.500 0.224
0.000 0.000 0.000
0.000 0.000 0.500
0.204 0.794 0.232
0.696 0.699 0.000
0.796 0.206 0.232
0.796 0.206 0.768
0.304 0.301 0.000
0.204 0.794 0.768
0.677 0.679 0.500
0.323 0.321 0.500
```

Total magnetic moment, μB/f.u.: 0.000
Raw total energy, eV per atom: -4.5778
Formation energy from raw total energies, eV per atom: -2.47
DOS(E_F), states/eV/f.u.: 2.65

Entry 5:
The following is a DFT calculation (PBE) of an optimized crystal structure of BeZnCl2.

The structure in POSCAR format:
```
BeZnCl2
1.0
-1.455 0.827 6.383
-2.941 -5.906 0.095
1.715 -4.470 4.381
Be Zn Cl
2 2 4
direct
0.500 0.500 0.000
0.250 0.750 0.500
0.000 0.000 0.000
0.750 0.250 0.500
0.450 0.125 0.250
0.300 0.625 0.250
0.375 0.550 0.750
0.875 0.700 0.750
```

Total magnetic moment, μB/f.u.: 0.000
E above lowest polymorph, meV per atom: 15
Raw total energy, eV per atom: -2.8182
Formation energy from raw total energies, eV per atom: -0.64
DOS(E_F), states/eV/f.u.: 0.00

Entry 6:
The following is a DFT calculation (PBE) of an optimized crystal structure of Sb2PdSO.

The structure in POSCAR format:
```
Sb2PdSO
1.0
4.831 0.000 0.000
0.000 4.193 0.000
0.000 0.000 4.831
Sb S O Pd
2 1 1 1
direct
0.000 0.000 0.500
0.500 0.000 0.000
0.500 0.500 0.500
0.000 0.000 0.000
0.000 0.500 0.000
```

Total magnetic moment, μB/f.u.: 0.000
Raw total energy, eV per atom: -4.3771
Formation energy from raw total energies, eV per atom: 0.13
DOS(E_F), states/eV/f.u.: 2.81